Density functional theory data (PBE) for Ni6PdPt after structural relaxation.

```
data_Ni6PdPt
_chemical_formula_sum 'Ni6 Pd1 Pt1'
_space_group_name_H-M_alt 'P 1'
_space_group_IT_number 1
_cell_length_a 3.653
_cell_length_b 3.653
_cell_length_c 7.307
_cell_angle_alpha 90.00
_cell_angle_beta 90.00
_cell_angle_gamma 90.00
loop_
_space_group_symop_operation_xyz
'x,y,z'
loop_
_atom_site_label
_atom_site_fract_x
_atom_site_fract_y
_atom_site_fract_z
_atom_site_occupancy
Ni1 0.000 0.000 0.000 1
Ni2 0.000 0.000 0.500 1
Ni3 0.000 0.500 0.250 1
Ni4 0.000 0.500 0.750 1
Ni5 0.500 0.000 0.250 1
Ni6 0.500 0.000 0.750 1
Pd1 0.500 0.500 0.000 1
Pt1 0.500 0.500 0.500 1
```

Properties
Calculated total energy   -5.76 eV per atom
Formation energy from the elements   -0.017 eV/atom
Crystal system   tetragonal